Record 1
Crystalline NaSrAsBr2 at its relaxed geometry. Source: Alexandria via LeMat-Bulk, functional PBE-GGA.

Cell: 5.3349 5.3349 5.6101 Å, 90.00 90.00 90.00°
Element x y z (fractional)
Na: 0.0000 0.0000 0.0000
Sr: 0.5000 0.5000 0.5000
As: 0.0000 0.0000 0.5000
Br: 0.0000 0.5000 0.0000
Br: 0.5000 0.0000 0.0000

- Crystal system: tetragonal
- Magnetic moment: 2.0 μB per cell
- Raw total energy: -14.72 eV for the cell shown
- Energy above the most stable polymorph in this dataset: 86.6 meV per atom
- Raw formation energy: -0.744 eV/atom

=====

Record 2
Crystalline NaSrAsBr2 at its relaxed geometry. Source: Alexandria via LeMat-Bulk, functional PBE-GGA.

Cell: 5.9705 5.9705 6.2278 Å, 90.00 90.00 90.00°
Element x y z (fractional)
Na: 0.0000 0.0000 0.0000
Sr: 0.5000 0.5000 0.5000
As: 0.5000 0.5000 0.0000
Br: 0.0000 0.5000 0.5000
Br: 0.5000 0.0000 0.5000

- Crystal system: tetragonal
- Magnetic moment: 2.0 μB per cell
- Raw total energy: -15.15 eV for the cell shown
- Energy above the most stable polymorph in this dataset: 0.0 meV per atom
- Raw formation energy: -0.831 eV/atom

=====

Record 3
Crystalline NaTaAs2Br at its relaxed geometry. Source: Alexandria via LeMat-Bulk, functional PBE-GGA.

Cell: 5.4423 5.4423 4.7005 Å, 90.00 90.00 90.00°
Element x y z (fractional)
Na: 0.0000 0.0000 0.0000
Ta: 0.5000 0.5000 0.0000
As: 0.0000 0.5000 0.5000
As: 0.5000 0.0000 0.5000
Br: 0.5000 0.5000 0.5000

- Crystal system: tetragonal
- Magnetic moment: 0.9 μB per cell
- Raw total energy: -18.22 eV for the cell shown
- Energy above the most stable polymorph in this dataset: 1408.4 meV per atom
- Raw formation energy: 1.184 eV/atom

=====

Record 4
Crystalline NaTaAs2Br at its relaxed geometry. Source: Alexandria via LeMat-Bulk, functional PBE-GGA.

Cell: 4.9349 4.9349 4.9520 Å, 90.00 90.00 90.00°
Element x y z (fractional)
Na: 0.0000 0.0000 0.0000
Ta: 0.5000 0.5000 0.5000
As: 0.0000 0.5000 0.0000
As: 0.5000 0.0000 0.0000
Br: 0.0000 0.0000 0.5000

- Crystal system: tetragonal
- Magnetic moment: 1.5 μB per cell
- Raw total energy: -17.58 eV for the cell shown
- Energy above the most stable polymorph in this dataset: 1536.6 meV per atom
- Raw formation energy: 1.312 eV/atom

=====

Record 5
Crystalline NaTaAs2Br at its relaxed geometry. Source: Alexandria via LeMat-Bulk, functional PBE-GGA.

Cell: 4.9839 4.9839 5.5074 Å, 90.00 90.00 90.00°
Element x y z (fractional)
Na: 0.0000 0.0000 0.0000
Ta: 0.5000 0.5000 0.5000
As: 0.0000 0.5000 0.5000
As: 0.5000 0.0000 0.5000
Br: 0.5000 0.5000 0.0000

- Crystal system: tetragonal
- Magnetic moment: 0.0 μB per cell
- Raw total energy: -25.26 eV for the cell shown
- Energy above the most stable polymorph in this dataset: 0.0 meV per atom
- Raw formation energy: -0.224 eV/atom

=====

Record 6
Crystalline NaTe2AsBr at its relaxed geometry. Source: Alexandria via LeMat-Bulk, functional PBE-GGA.

Cell: 5.5267 5.5267 5.1548 Å, 90.00 90.00 90.00°
Element x y z (fractional)
Na: 0.0000 0.0000 0.0000
Te: 0.0000 0.5000 0.0000
Te: 0.5000 0.0000 0.0000
As: 0.0000 0.0000 0.5000
Br: 0.5000 0.5000 0.5000

- Crystal system: tetragonal
- Magnetic moment: 0.0 μB per cell
- Raw total energy: -10.22 eV for the cell shown
- Raw formation energy: 0.740 eV/atom